No. 1
VASP calculation (PBE) on ZnInP2 after structural relaxation.

Results
- Final energy: -3.6153 eV per atom
- E_form: 93 meV/atom
- Magnetization: 0.00 μB per formula unit

a = 3.386 Å, b = 3.386 Å, c = 6.838 Å
α = 90.00°, β = 90.00°, γ = 90.00°
Fractional positions:
In (0.500, 0.500, 0.729)
P (0.000, 0.000, 0.160)
P (0.500, 0.500, 0.108)
Zn (0.000, 0.000, 0.503)


No. 2
VASP calculation (PBE) on ZnIn2P after structural relaxation.

Results
- Final energy: -2.7952 eV per atom
- E_form: 245 meV/atom
- Energy above the most stable polymorph in this dataset: 220 meV per atom
- Magnetization: 0.00 μB per formula unit

a = 4.993 Å, b = 4.993 Å, c = 4.993 Å
α = 60.00°, β = 60.00°, γ = 60.00°
Fractional positions:
P (0.000, 0.000, 0.000)
Zn (0.500, 0.500, 0.500)
In (0.250, 0.250, 0.250)
In (0.750, 0.750, 0.750)


No. 3
VASP calculation (PBE) on ZnInP after structural relaxation.

Results
- Final energy: -2.9360 eV per atom
- E_form: 205 meV/atom
- Energy above the most stable polymorph in this dataset: 276 meV per atom
- Magnetization: 0.00 μB per formula unit

a = 4.565 Å, b = 4.565 Å, c = 4.565 Å
α = 60.00°, β = 60.00°, γ = 60.00°
Fractional positions:
Zn (0.000, 0.000, 0.000)
In (0.500, 0.500, 0.500)
P (0.250, 0.250, 0.250)


No. 4
VASP calculation (PBE) on ZnInP after structural relaxation.

Results
- Final energy: -3.1715 eV per atom
- E_form: -31 meV/atom
- Energy above the most stable polymorph in this dataset: 40 meV per atom
- Magnetization: 0.00 μB per formula unit

a = 5.586 Å, b = 3.887 Å, c = 6.380 Å
α = 90.00°, β = 104.36°, γ = 90.00°
Fractional positions:
Zn (0.345, 0.500, 0.777)
Zn (0.410, 0.000, 0.267)
In (0.845, 0.500, 0.541)
In (0.831, 0.000, 0.085)
P (0.527, 0.000, 0.661)
P (0.187, 0.500, 0.086)


No. 5
VASP calculation (PBE) on ZnInP2 after structural relaxation.

Results
- Final energy: -3.6693 eV per atom
- E_form: 39 meV/atom
- Magnetization: 0.00 μB per formula unit

a = 5.724 Å, b = 5.724 Å, c = 4.935 Å
α = 108.20°, β = 108.20°, γ = 33.15°
Fractional positions:
In (0.250, 0.250, 0.250)
P (0.985, 0.985, 0.886)
P (0.515, 0.515, 0.614)
Zn (0.750, 0.750, 0.750)


No. 6
VASP calculation (PBE) on ZnInP2 after structural relaxation.

Results
- Final energy: -3.6012 eV per atom
- E_form: 107 meV/atom
- Magnetization: 0.00 μB per formula unit

a = 3.270 Å, b = 3.774 Å, c = 6.659 Å
α = 90.00°, β = 90.00°, γ = 90.00°
Fractional positions:
In (0.500, 0.500, 0.804)
P (0.000, 0.000, 0.958)
P (0.500, 0.500, 0.419)
Zn (0.000, 0.000, 0.319)


Among the records above, which one has the lowest final energy? number 5


E_form of number 3 (ZnInP)? 205 meV/atom


Which of these has the lowest final energy? number 5